(1)
# LiTc2Ir

LiTc2Ir at its PBEsol-relaxed geometry (meta-GGA SCAN, Alexandria).

## Properties
- ΔE to the lowest computed polymorph (kJ per mole of atoms) = 0.0
- electronic total energy (eV per atom) = -35.7760
- formation enthalpy at 0 K (eV per atom) = 0.13

```
data_LiTc2Ir
_chemical_formula_sum 'Li2 Tc4 Ir2'
_cell_length_a 2.770
_cell_length_b 4.486
_cell_length_c 9.056
_cell_angle_alpha 90.00
_cell_angle_beta 90.00
_cell_angle_gamma 90.00
_symmetry_space_group_name_H-M 'C m m 2'
_symmetry_Int_Tables_number 35
loop_
_symmetry_equiv_pos_as_xyz
'x,y,z'
'-x,-y,z'
'-x,y,z'
'x,-y,z'
'x+1/2,y+1/2,z'
'-x+1/2,-y+1/2,z'
'-x+1/2,y+1/2,z'
'x+1/2,-y+1/2,z'
loop_
_atom_site_label
_atom_site_type_symbol
_atom_site_fract_x
_atom_site_fract_y
_atom_site_fract_z
_atom_site_occupancy
Li1 Li 0.000 0.000 0.000 1
Tc1 Tc 0.000 0.000 0.498 1
Tc2 Tc 0.000 0.500 0.737 1
Ir1 Ir 0.000 0.500 0.244 1
```



(2)
# Li2TcIr

Li2TcIr at its PBEsol-relaxed geometry (meta-GGA SCAN, Alexandria).

## Properties
- ΔE to the lowest computed polymorph (kJ per mole of atoms) = 12.4
- electronic total energy (eV per atom) = -27.8002
- formation enthalpy at 0 K (eV per atom) = -0.07

```
data_Li2TcIr
_chemical_formula_sum 'Li4 Tc2 Ir2'
_cell_length_a 9.351
_cell_length_b 2.664
_cell_length_c 4.446
_cell_angle_alpha 90.00
_cell_angle_beta 102.11
_cell_angle_gamma 90.00
_symmetry_space_group_name_H-M 'C 1 2/m 1'
_symmetry_Int_Tables_number 12
loop_
_symmetry_equiv_pos_as_xyz
'x,y,z'
'-x,-y,-z'
'-x,y,-z'
'x,-y,z'
'x+1/2,y+1/2,z'
'-x+1/2,-y+1/2,-z'
'-x+1/2,y+1/2,-z'
'x+1/2,-y+1/2,z'
loop_
_atom_site_label
_atom_site_type_symbol
_atom_site_fract_x
_atom_site_fract_y
_atom_site_fract_z
_atom_site_occupancy
Li1 Li 0.245 0.000 0.245 1
Tc1 Tc 0.000 0.000 0.500 1
Ir1 Ir 0.000 0.500 0.000 1
```



(3)
# LiTc2Ir

LiTc2Ir at its PBEsol-relaxed geometry (meta-GGA SCAN, Alexandria).

## Properties
- ΔE to the lowest computed polymorph (kJ per mole of atoms) = 2.4
- electronic total energy (eV per atom) = -35.7516
- formation enthalpy at 0 K (eV per atom) = 0.15

```
data_LiTc2Ir
_chemical_formula_sum 'Li1 Tc2 Ir1'
_cell_length_a 3.623
_cell_length_b 3.623
_cell_length_c 4.038
_cell_angle_alpha 90.00
_cell_angle_beta 90.00
_cell_angle_gamma 90.00
_symmetry_space_group_name_H-M 'P 4/m m m'
_symmetry_Int_Tables_number 123
_symmetry_space_group_name_Hall '-P 4 2'
loop_
_atom_site_label
_atom_site_type_symbol
_atom_site_fract_x
_atom_site_fract_y
_atom_site_fract_z
_atom_site_occupancy
Li1 Li 0.000 0.000 0.000 1
Tc1 Tc 0.000 0.500 0.500 1
Ir1 Ir 0.500 0.500 0.000 1
```



(4)
# LiTcIr

LiTcIr at its PBEsol-relaxed geometry (meta-GGA SCAN, Alexandria).

## Properties
- electronic total energy (eV per atom) = -35.9310
- formation enthalpy at 0 K (eV per atom) = 0.25

```
data_LiTcIr
_chemical_formula_sum 'Li4 Tc4 Ir4'
_cell_length_a 5.692
_cell_length_b 5.692
_cell_length_c 5.692
_cell_angle_alpha 90.00
_cell_angle_beta 90.00
_cell_angle_gamma 90.00
_symmetry_space_group_name_H-M 'F -4 3 m'
_symmetry_Int_Tables_number 216
_symmetry_space_group_name_Hall 'F -4 2 3'
loop_
_atom_site_label
_atom_site_type_symbol
_atom_site_fract_x
_atom_site_fract_y
_atom_site_fract_z
_atom_site_occupancy
Li1 Li 0.000 0.000 0.000 1
Tc1 Tc 0.250 0.250 0.750 1
Ir1 Ir 0.000 0.000 0.500 1
```



(5)
# Li2TcIr

Li2TcIr at its PBEsol-relaxed geometry (meta-GGA SCAN, Alexandria).

## Properties
- ΔE to the lowest computed polymorph (kJ per mole of atoms) = 0.0
- electronic total energy (eV per atom) = -27.9291
- formation enthalpy at 0 K (eV per atom) = -0.19

```
data_Li2TcIr
_chemical_formula_sum 'Li8 Tc4 Ir4'
_cell_length_a 5.864
_cell_length_b 5.864
_cell_length_c 5.864
_cell_angle_alpha 90.00
_cell_angle_beta 90.00
_cell_angle_gamma 90.00
_symmetry_space_group_name_H-M 'F -4 3 m'
_symmetry_Int_Tables_number 216
_symmetry_space_group_name_Hall 'F -4 2 3'
loop_
_atom_site_label
_atom_site_type_symbol
_atom_site_fract_x
_atom_site_fract_y
_atom_site_fract_z
_atom_site_occupancy
Li1 Li 0.000 0.000 0.000 1
Li2 Li 0.250 0.250 0.250 1
Tc1 Tc 0.000 0.000 0.500 1
Ir1 Ir 0.250 0.250 0.750 1
```



(6)
# Li2TcIr

Li2TcIr at its PBEsol-relaxed geometry (meta-GGA SCAN, Alexandria).

## Properties
- ΔE to the lowest computed polymorph (kJ per mole of atoms) = 10.2
- electronic total energy (eV per atom) = -27.8239
- formation enthalpy at 0 K (eV per atom) = -0.09

```
data_Li2TcIr
_chemical_formula_sum 'Li2 Tc1 Ir1'
_cell_length_a 2.665
_cell_length_b 3.921
_cell_length_c 5.422
_cell_angle_alpha 90.00
_cell_angle_beta 90.00
_cell_angle_gamma 90.00
_symmetry_space_group_name_H-M 'P m m 2'
_symmetry_Int_Tables_number 25
loop_
_symmetry_equiv_pos_as_xyz
'x,y,z'
'-x,-y,z'
'-x,y,z'
'x,-y,z'
loop_
_atom_site_label
_atom_site_type_symbol
_atom_site_fract_x
_atom_site_fract_y
_atom_site_fract_z
_atom_site_occupancy
Li1 Li 0.000 0.000 0.000 1
Li2 Li 0.500 0.500 0.216 1
Tc1 Tc 0.000 0.000 0.528 1
Ir1 Ir 0.500 0.500 0.701 1
```



(7)
# LiZn2TcIr

LiZn2TcIr at its PBEsol-relaxed geometry (meta-GGA SCAN, Alexandria).

## Properties
- electronic total energy (eV per atom) = -26.5746
- formation enthalpy at 0 K (eV per atom) = 0.54

```
data_LiZn2TcIr
_chemical_formula_sum 'Li1 Zn2 Tc1 Ir1'
_cell_length_a 4.765
_cell_length_b 4.765
_cell_length_c 4.670
_cell_angle_alpha 90.00
_cell_angle_beta 90.00
_cell_angle_gamma 90.00
_symmetry_space_group_name_H-M 'P 4/m m m'
_symmetry_Int_Tables_number 123
_symmetry_space_group_name_Hall '-P 4 2'
loop_
_atom_site_label
_atom_site_type_symbol
_atom_site_fract_x
_atom_site_fract_y
_atom_site_fract_z
_atom_site_occupancy
Li1 Li 0.000 0.000 0.000 1
Zn1 Zn 0.000 0.500 0.500 1
Tc1 Tc 0.500 0.500 0.000 1
Ir1 Ir 0.500 0.500 0.500 1
```



(8)
# LiTeIr2

LiTeIr2 at its PBEsol-relaxed geometry (meta-GGA SCAN, Alexandria).

## Properties
- formation energy from raw total energies (eV/atom) = 0.39
- electronic total energy (eV per atom) = -45.0663

```
data_LiTeIr2
_chemical_formula_sum 'Li3 Te3 Ir6'
_cell_length_a 2.9534
_cell_length_b 2.9534
_cell_length_c 26.2069
_cell_angle_alpha 90.00
_cell_angle_beta 90.00
_cell_angle_gamma 120.00
_symmetry_space_group_name_H-M 'R 3 m'
_symmetry_Int_Tables_number 160
_symmetry_space_group_name_Hall 'R 3 -2"'
loop_
_atom_site_label
_atom_site_type_symbol
_atom_site_fract_x
_atom_site_fract_y
_atom_site_fract_z
_atom_site_occupancy
Li1 Li 0.0000 0.0000 0.0000 1
Te1 Te 0.0000 0.0000 0.7612 1
Ir1 Ir 0.0000 0.0000 0.2563 1
Ir2 Ir 0.0000 0.0000 0.5105 1
```